Compound: K3BiH
Source: the Alexandria database
Functional: GGA-PBEsol
Structure: optimized geometry

Structure (POSCAR):
```
K3BiH
1.0
5.421 0.000 0.000
0.000 5.421 0.000
0.000 0.000 5.421
H K Bi
1 3 1
Cartesian
0.000 0.000 0.000
0.000 2.710 0.000
0.000 0.000 2.710
2.710 0.000 0.000
2.710 2.710 2.710
```

Properties
Symmetry   No. 221
Magnetization   1.02 μB per formula unit
Mass density   3.4 g/cm3
DFT total energy   -12.1 eV per cell



Compound: Si12CO24
Source: the Alexandria database
Functional: GGA-PBEsol
Structure: optimized geometry

Structure (POSCAR):
```
Si12CO24
1.0
-1.950 -0.178 -4.802
10.145 -2.955 -3.990
-0.220 -11.281 0.528
Si C O
12 1 24
Cartesian
2.261 -8.150 -0.851
6.527 -4.723 -2.711
6.487 -6.180 -5.441
2.242 -9.589 -3.591
8.025 -9.679 -8.419
3.753 -13.111 -6.556
-1.017 -4.790 -2.151
3.263 -1.353 -4.016
3.629 -5.470 -1.754
5.064 -8.944 -4.864
1.747 -3.683 -2.779
7.068 -10.335 -2.828
2.304 -3.440 -1.053
1.104 -9.396 -4.729
5.879 -5.560 -6.811
6.529 -5.029 -4.300
1.773 -8.849 -2.227
1.265 -4.502 -5.393
6.142 -9.854 -4.068
-0.413 -5.487 -0.822
4.450 -1.581 -2.942
8.495 -8.890 -7.089
3.651 -12.780 -4.978
2.712 -5.026 -3.040
4.872 -9.521 -6.367
-0.985 -7.791 -4.858
4.601 -3.304 -7.292
7.992 -6.677 -5.729
2.405 -11.164 -3.294
0.160 -3.988 -2.920
2.089 -2.438 -3.761
8.619 -10.316 -3.284
6.697 -11.860 -2.446
3.287 -6.937 -1.200
5.207 -5.394 -2.037
5.565 -7.408 -4.921
3.647 -8.949 -4.085
```

Properties
Symmetry   No. 8
Magnetization   2.00 μB per formula unit
Energy relative to the elements, uncorrected   -2563 meV per atom
Mass density   1.9 g/cm3
DFT total energy   -299.4 eV per cell



Compound: TaTcOs3
Source: the Alexandria database
Functional: GGA-PBEsol
Structure: optimized geometry

Structure (POSCAR):
```
TaTcOs3
1.0
4.546 0.000 0.000
0.000 4.546 0.000
0.000 0.000 4.546
Os Tc Ta
3 1 1
Cartesian
0.000 2.273 0.000
0.000 0.000 2.273
2.273 0.000 0.000
0.000 0.000 0.000
2.273 2.273 2.273
```

Properties
ΔE_f   209.55 kJ/mol of atoms
Symmetry   No. 221
Magnetization   0.00 μB per formula unit
Mass density   15.0 g/cm3
DFT total energy   -49.6 eV per cell



Compound: CuIr5
Source: the Alexandria database
Functional: GGA-PBEsol
Structure: optimized geometry

Structure (POSCAR):
```
CuIr5
1.0
-2.659 -0.511 0.104
1.956 -3.608 -3.022
0.688 -2.377 5.922
Ir Cu
5 1
Cartesian
0.675 -3.648 -0.661
-0.894 -2.323 1.031
0.492 -1.890 3.308
0.873 -4.140 1.979
-0.396 -4.248 4.316
0.690 -2.391 5.903
```

Properties
ΔE_f   10.53 kJ/mol of atoms
Symmetry   No. 8
Magnetization   0.00 μB per formula unit
Mass density   20.6 g/cm3
DFT total energy   -52.8 eV per cell



Compound: BaCdB3
Source: the Alexandria database
Functional: GGA-PBEsol
Structure: optimized geometry

Structure (POSCAR):
```
BaCdB3
1.0
4.885 0.000 0.000
0.000 4.885 0.000
0.000 0.000 4.885
B Ba Cd
3 1 1
Cartesian
0.000 2.443 0.000
0.000 0.000 2.443
2.443 0.000 0.000
0.000 0.000 0.000
2.443 2.443 2.443
```

Properties
ΔE_f   268.81 kJ/mol of atoms
Symmetry   No. 221
Magnetization   0.00 μB per formula unit
Mass density   4.0 g/cm3
DFT total energy   -10.5 eV per cell



Compound: Li3Ag
Source: the Alexandria database
Functional: GGA-PBEsol
Structure: optimized geometry

Structure (POSCAR):
```
Li3Ag
1.0
4.014 0.000 0.000
0.000 4.014 0.000
0.000 0.000 4.014
Ag Li
1 3
Cartesian
0.000 0.000 0.000
0.000 2.007 2.007
2.007 0.000 2.007
2.007 2.007 0.000
```

Properties
ΔE_f   -10.71 kJ/mol of atoms
Symmetry   No. 221
Magnetization   0.00 μB per formula unit
Mass density   3.3 g/cm3
DFT total energy   -9.7 eV per cell



Compound: KSr
Source: the Alexandria database
Functional: GGA-PBEsol
Structure: optimized geometry

Structure (POSCAR):
```
KSr
1.0
-2.745 -2.816 1.553
3.162 -2.736 0.628
1.845 4.932 12.204
Sr K
2 2
Cartesian
-0.656 0.508 5.519
2.709 1.648 7.776
0.222 2.856 11.327
1.831 -0.699 1.969
```

Properties
ΔE_f   6.41 kJ/mol of atoms
Symmetry   No. 129
Magnetization   0.00 μB per formula unit
Mass density   1.8 g/cm3
DFT total energy   -5.7 eV per cell



Compound: NbFe3Pd
Source: the Alexandria database
Functional: GGA-PBEsol
Structure: optimized geometry

Structure (POSCAR):
```
NbFe3Pd
1.0
4.371 0.000 0.000
0.000 4.371 0.000
0.000 0.000 4.371
Nb Fe Pd
1 3 1
Cartesian
0.000 0.000 0.000
0.000 2.185 0.000
0.000 0.000 2.185
2.185 0.000 0.000
2.185 2.185 2.185
```

Properties
ΔE_f   149.74 kJ/mol of atoms
Symmetry   No. 221
Magnetization   5.07 μB per formula unit
Mass density   7.3 g/cm3
DFT total energy   -35.9 eV per cell



Compound: LiNi2P3O10
Source: the Alexandria database
Functional: GGA-PBEsol
Structure: optimized geometry

Structure (POSCAR):
```
LiNi2P3O10
1.0
4.571 0.000 0.005
0.000 8.307 0.000
-1.229 0.000 8.788
Li Ni P O
2 4 6 20
Cartesian
0.000 4.153 0.000
0.000 0.000 0.000
-0.252 4.736 2.965
3.593 0.582 5.828
3.593 3.571 5.828
-0.252 7.725 2.965
1.239 2.077 4.105
2.103 6.230 4.688
2.838 2.077 1.576
0.504 6.230 7.217
1.407 2.077 7.489
1.934 6.230 1.304
2.557 2.077 4.891
0.784 6.230 3.902
2.905 4.936 4.502
0.437 0.782 4.290
0.437 3.371 4.290
2.905 7.525 4.502
-0.278 4.946 7.139
3.619 0.792 1.654
1.118 7.512 1.425
2.224 3.358 7.368
2.224 0.795 7.368
1.118 4.949 1.425
3.229 6.230 2.133
0.113 2.077 6.659
1.735 6.230 6.242
1.606 2.077 2.550
1.337 6.230 8.586
2.005 2.077 0.207
-0.278 7.515 7.139
3.619 3.361 1.654
```

Properties
Symmetry   No. 11
Magnetization   4.01 μB per formula unit
Energy relative to the elements, uncorrected   -1839 meV per atom
Mass density   3.8 g/cm3
DFT total energy   -227.2 eV per cell



Compound: TcAgBr2
Source: the Alexandria database
Functional: GGA-PBEsol
Structure: optimized geometry

Structure (POSCAR):
```
TcAgBr2
1.0
-1.773 -2.155 1.582
3.512 -0.588 3.136
-1.835 3.468 2.668
Br Tc Ag
2 1 1
Cartesian
1.756 -0.294 1.568
-0.918 1.734 1.334
-0.886 -1.077 0.791
-0.048 0.363 3.692
```

Properties
Symmetry   No. 65
Magnetization   1.15 μB per formula unit
Energy relative to the elements, uncorrected   703 meV per atom
Mass density   8.4 g/cm3
DFT total energy   -15.5 eV per cell



Compound: H3SeCl
Source: the Alexandria database
Functional: GGA-PBEsol
Structure: optimized geometry

Structure (POSCAR):
```
H3SeCl
1.0
3.654 0.000 0.000
0.000 3.654 0.000
0.000 0.000 3.654
H Se Cl
3 1 1
Cartesian
0.000 1.827 0.000
0.000 0.000 1.827
1.827 0.000 0.000
0.000 0.000 0.000
1.827 1.827 1.827
```

Properties
Symmetry   No. 221
Magnetization   0.00 μB per formula unit
Mass density   4.0 g/cm3
DFT total energy   -14.3 eV per cell



Compound: FeCoRh2
Source: the Alexandria database
Functional: GGA-PBEsol
Structure: optimized geometry

Structure (POSCAR):
```
FeCoRh2
1.0
-2.860 2.901 0.793
-2.947 0.830 -2.803
-3.932 -1.109 0.733
Co Fe Rh
1 1 2
Cartesian
-4.870 1.311 -0.638
-7.304 1.967 -0.957
0.000 0.000 0.000
-2.435 0.656 -0.319
```

Properties
ΔE_f   25.03 kJ/mol of atoms
Symmetry   No. 216
Magnetization   5.93 μB per formula unit
Mass density   10.5 g/cm3
DFT total energy   -31.9 eV per cell